The following is a GGA-PBE calculation of a relaxed LiPuTl crystal, from OQMD via LeMat-Bulk.

Results
**Theoretical density**: 8.22 Mg/m³
**Relative energy among the computed polymorphs**: 0.000 eV per atom

Structure (CIF):
```
data_LiPuTl
_chemical_formula_sum 'Li4 Pu4 Tl4'
_space_group_name_H-M_alt 'F -4 3 m'
_space_group_IT_number 216
_space_group_name_Hall 'F -4 2 3'
_cell_length_a 7.1644
_cell_length_b 7.1644
_cell_length_c 7.1644
_cell_angle_alpha 90.00
_cell_angle_beta 90.00
_cell_angle_gamma 90.00
loop_
_atom_site_label
_atom_site_type_symbol
_atom_site_fract_x
_atom_site_fract_y
_atom_site_fract_z
_atom_site_occupancy
Li1 Li 0.0000 0.0000 0.0000 1
Pu1 Pu 0.0000 0.0000 0.5000 1
Tl1 Tl 0.2500 0.2500 0.2500 1
```

***

The following is a GGA-PBE calculation of a relaxed H24PdC8N4Cl3O4 crystal, from OQMD via LeMat-Bulk.

Results
**Theoretical density**: 2.03 Mg/m³
**E**: -5.3720 eV per atom

Structure (CIF):
```
data_H24PdC8N4Cl3O4
_chemical_formula_sum 'H48 Pd2 C16 N8 Cl6 O8'
_space_group_name_H-M_alt 'C 1 2 1'
_space_group_IT_number 5
_cell_length_a 21.8754
_cell_length_b 4.9224
_cell_length_c 7.0020
_cell_angle_alpha 90.00
_cell_angle_beta 100.43
_cell_angle_gamma 90.00
loop_
_space_group_symop_operation_xyz
'x,y,z'
'-x,y,-z'
'x+1/2,y+1/2,z'
'-x+1/2,y+1/2,-z'
loop_
_atom_site_label
_atom_site_type_symbol
_atom_site_fract_x
_atom_site_fract_y
_atom_site_fract_z
_atom_site_occupancy
H1 H 0.0613 0.0000 0.2281 1
H2 H 0.0674 0.6943 0.8310 1
H3 H 0.0704 0.6654 0.2695 1
H4 H 0.0764 0.0289 0.7970 1
H5 H 0.1335 0.1352 0.4825 1
H6 H 0.1336 0.5542 0.6390 1
H7 H 0.1579 0.4697 0.2401 1
H8 H 0.1647 0.1994 0.9202 1
H9 H 0.1786 0.9156 0.2190 1
H10 H 0.1887 0.7435 0.9451 1
H11 H 0.2284 0.8964 0.4491 1
H12 H 0.2314 0.7901 0.7562 1
Pd1 Pd 0.0000 0.8471 0.5000 1
C1 C 0.1308 0.9135 0.4628 1
C2 C 0.1326 0.7758 0.6585 1
C3 C 0.1842 0.8230 0.3644 1
C4 C 0.1894 0.8545 0.8090 1
N1 N 0.0697 0.8531 0.3360 1
N2 N 0.0741 0.8406 0.7298 1
Cl1 Cl 0.0000 0.3471 0.5000 1
Cl2 Cl 0.0833 0.3426 0.0342 1
O1 O 0.1879 0.5346 0.3543 1
O2 O 0.1948 0.1404 0.8397 1
```

***

Copy entry 2 word for word.
The following is a GGA-PBE calculation of a relaxed H24PdC8N4Cl3O4 crystal, from OQMD via LeMat-Bulk.

Results
**Theoretical density**: 2.03 Mg/m³
**E**: -5.3720 eV per atom

Structure (CIF):
```
data_H24PdC8N4Cl3O4
_chemical_formula_sum 'H48 Pd2 C16 N8 Cl6 O8'
_space_group_name_H-M_alt 'C 1 2 1'
_space_group_IT_number 5
_cell_length_a 21.8754
_cell_length_b 4.9224
_cell_length_c 7.0020
_cell_angle_alpha 90.00
_cell_angle_beta 100.43
_cell_angle_gamma 90.00
loop_
_space_group_symop_operation_xyz
'x,y,z'
'-x,y,-z'
'x+1/2,y+1/2,z'
'-x+1/2,y+1/2,-z'
loop_
_atom_site_label
_atom_site_type_symbol
_atom_site_fract_x
_atom_site_fract_y
_atom_site_fract_z
_atom_site_occupancy
H1 H 0.0613 0.0000 0.2281 1
H2 H 0.0674 0.6943 0.8310 1
H3 H 0.0704 0.6654 0.2695 1
H4 H 0.0764 0.0289 0.7970 1
H5 H 0.1335 0.1352 0.4825 1
H6 H 0.1336 0.5542 0.6390 1
H7 H 0.1579 0.4697 0.2401 1
H8 H 0.1647 0.1994 0.9202 1
H9 H 0.1786 0.9156 0.2190 1
H10 H 0.1887 0.7435 0.9451 1
H11 H 0.2284 0.8964 0.4491 1
H12 H 0.2314 0.7901 0.7562 1
Pd1 Pd 0.0000 0.8471 0.5000 1
C1 C 0.1308 0.9135 0.4628 1
C2 C 0.1326 0.7758 0.6585 1
C3 C 0.1842 0.8230 0.3644 1
C4 C 0.1894 0.8545 0.8090 1
N1 N 0.0697 0.8531 0.3360 1
N2 N 0.0741 0.8406 0.7298 1
Cl1 Cl 0.0000 0.3471 0.5000 1
Cl2 Cl 0.0833 0.3426 0.0342 1
O1 O 0.1879 0.5346 0.3543 1
O2 O 0.1948 0.1404 0.8397 1
```